Entry 1:
Density functional theory data (PBE) for a geometry-optimized MgPbAu2 structure.

Its calculated volume is 85.5 Å³/f.u. Its formation energy is -0.22 eV/atom.

The structure belongs to space group C2/m (No. 12); the cell edges are 6.121, 7.283 and 3.838 Å and the angles 90.00°, 90.37° and 90.00°. The asymmetric unit holds Mg at (0.000, 0.000, 0.000), Pb at (0.000, 0.500, 0.000) and Au at (0.250, 0.250, 0.500).

---

Entry 2:
Density functional theory data (PBE) for a geometry-optimized NbRePt structure.

Its calculated volume is 49.0 Å³/f.u. Its formation energy is -0.27 eV/atom.

The structure belongs to space group P3m1 (No. 156); the cell edges are 4.5021, 4.5021 and 5.5847 Å and the angles 90.00°, 90.00° and 120.00°. The asymmetric unit holds Nb at (0.0000, 0.0000, 0.0000), Nb at (0.3333, 0.6667, 0.7791), Re at (0.3333, 0.6667, 0.2451), Re at (0.6667, 0.3333, 0.2192), Pt at (0.0000, 0.0000, 0.4943) and Pt at (0.6667, 0.3333, 0.7156).

---

- The highest calculated volume belongs to which entry?
  MgPbAu2

---

- Look up the calculated volume of the second one.
  49.0 Å³/f.u.

---

- What is the formula in the first record?
  MgPbAu2

---

- Which of these has the highest calculated volume?
  MgPbAu2